1.
GdThCu: optimized geometry, PBE.

Calculated values
The mass density is 9.7 g/cm³. The calculation puts the calculated formation energy at -0.05 eV/atom. Its space group is I4mm, No. 107. As for the total energy: -25.759 eV per formula unit.

a b c (Å): 3.5550 3.5550 6.6227
angles (deg): 105.57 105.57 90.00
Closest atoms and distances in Å follow each position.
Sites, in units of the cell vectors:
Cu 0.6661 0.6661 0.3322  4 Gd 3.07, 4 Th 3.08
Th 0.3117 0.3117 0.6234  4 Cu 3.08
Gd 0.0222 0.0222 0.0444  4 Cu 3.07

=====

2.
Tl2CdInBi2: optimized geometry, PBE.

Calculated values
The mass density is 8.8 g/cm³. The calculation puts the calculated formation energy at 0.00 eV/atom. Its space group is Ibam, No. 72. As for the total energy: -16.138 eV per formula unit.

a b c (Å): 7.1315 7.0940 9.3219
angles (deg): 112.36 112.49 90.00
Closest atoms and distances in Å follow each position.
Sites, in units of the cell vectors:
Tl 0.0814 0.3337 0.6674  5 Bi 3.37-3.70, 2 Cd 3.62, 2 In 3.63
Tl 0.9186 0.6663 0.3326  5 Bi 3.37-3.70, 2 Cd 3.62, 2 In 3.63
Tl 0.4140 0.1663 0.3326  5 Bi 3.37-3.70, 2 Cd 3.62, 2 In 3.63
Tl 0.5860 0.8337 0.6674  5 Bi 3.37-3.70, 2 Cd 3.62, 2 In 3.63
In 0.5000 0.2500 0.0000  4 Bi 3.15
In 0.5000 0.7500 0.0000  4 Bi 3.15
Bi 0.3633 0.6188 0.2376  2 Cd 3.11, 2 In 3.15, 1 Tl 3.37
Bi 0.8743 0.1188 0.2376  2 Cd 3.11, 2 In 3.15, 1 Tl 3.37
Bi 0.6367 0.3812 0.7624  2 Cd 3.11, 2 In 3.15, 1 Tl 3.37
Bi 0.1257 0.8812 0.7624  2 Cd 3.11, 2 In 3.15, 1 Tl 3.37
Cd 0.0000 0.2500 0.0000  4 Bi 3.11
Cd 0.0000 0.7500 0.0000  4 Bi 3.11

=====

3.
Sm4Tm2Th3: optimized geometry, PBE.

Calculated values
The mass density is 9.2 g/cm³. The calculation puts the calculated formation energy at 0.09 eV/atom. Its space group is P3m1, No. 156. As for the total energy: -49.271 eV per formula unit.

a b c (Å): 3.5661 3.5661 26.7839
angles (deg): 90.00 90.00 120.00
Closest atoms and distances in Å follow each position.
Sites, in units of the cell vectors:
Sm 0.6667 0.3333 0.4316  9 Sm 3.57-3.67, 3 Th 3.61
Sm 0.0000 0.0000 0.5452  9 Sm 3.57-3.67, 3 Th 3.60
Sm 0.6667 0.3333 0.2128  1 Tm 3.35, 3 Th 3.55, 6 Sm 3.57
Sm 0.0000 0.0000 0.7666  3 Tm 3.54, 6 Sm 3.57, 3 Th 3.62
Tm 0.6667 0.3333 0.8739  3 Sm 3.54, 6 Tm 3.57, 3 Th 3.58
Tm 0.6667 0.3333 0.0878  1 Sm 3.35, 3 Th 3.48, 6 Tm 3.57
Th 0.0000 0.0000 0.9832  6 Tm 3.48-3.58, 6 Th 3.57
Th 0.0000 0.0000 0.3208  6 Sm 3.55-3.61, 6 Th 3.57
Th 0.6667 0.3333 0.6553  6 Th 3.57, 6 Sm 3.60-3.62

=====

4.
Na2CdInTe4: optimized geometry, PBE.

Calculated values
The mass density is 5.3 g/cm³. Its space group is I-42m, No. 121. As for the total energy: -22.797 eV per formula unit. The value obtained for the formation energy without anion corrections is -492 meV per atom.

a b c (Å): 7.5515 6.8472 6.8472
angles (deg): 72.30 56.54 56.54
Closest atoms and distances in Å follow each position.
Sites, in units of the cell vectors:
Te 0.5554 0.0000 0.3789  1 In 2.85, 1 Cd 2.90
Te 0.0657 0.3789 0.0000  1 In 2.85, 1 Cd 2.90
Te 0.4446 0.6211 0.0000  1 In 2.85, 1 Cd 2.90
Te 0.9343 0.0000 0.6211  1 In 2.85, 1 Cd 2.90
Na 0.0000 0.5000 0.5000  8 Te 3.47-3.51, 2 Na 3.78
Na 0.5000 0.5000 0.5000  8 Te 3.47-3.51, 2 Na 3.78
Cd 0.0000 0.0000 0.0000  4 Te 2.90
In 0.5000 0.0000 0.0000  4 Te 2.85

=====

5.
Er4HgPd15: optimized geometry, PBE.

Calculated values
The mass density is 11.9 g/cm³. The calculation puts the calculated formation energy at -0.74 eV/atom. Its space group is P4/mmm, No. 123. As for the total energy: -111.316 eV per formula unit.

a b c (Å): 4.0813 4.0813 20.6099
angles (deg): 90.00 90.00 90.00
Closest atoms and distances in Å follow each position.
Sites, in units of the cell vectors:
Pd 0.5000 0.5000 0.8000  4 Er 2.89, 8 Pd 2.90
Pd 0.5000 0.0000 0.0998  2 Er 2.88, 8 Pd 2.89-2.90, 2 Hg 2.90
Pd 0.5000 0.0000 0.7003  8 Pd 2.89-2.90, 4 Er 2.90-2.91
Pd 0.5000 0.5000 0.3994  4 Er 2.89, 8 Pd 2.90-2.91
Pd 0.0000 0.5000 0.7003  8 Pd 2.89-2.90, 4 Er 2.90-2.91
Pd 0.5000 0.0000 0.9002  2 Er 2.88, 8 Pd 2.89-2.90, 2 Hg 2.90
Pd 0.0000 0.5000 0.9002  2 Er 2.88, 8 Pd 2.89-2.90, 2 Hg 2.90
Pd 0.0000 0.5000 0.5000  8 Pd 2.89-2.91, 4 Er 2.90
Pd 0.5000 0.0000 0.5000  8 Pd 2.89-2.91, 4 Er 2.90
Pd 0.0000 0.5000 0.0998  2 Er 2.88, 8 Pd 2.89-2.90, 2 Hg 2.90
Pd 0.5000 0.5000 0.2000  4 Er 2.89, 8 Pd 2.90
Pd 0.5000 0.0000 0.2997  8 Pd 2.89-2.90, 4 Er 2.90-2.91
Pd 0.5000 0.5000 0.0000  4 Hg 2.89, 8 Pd 2.90
Pd 0.5000 0.5000 0.6006  4 Er 2.89, 8 Pd 2.90-2.91
Pd 0.0000 0.5000 0.2997  8 Pd 2.89-2.90, 4 Er 2.90-2.91
Er 0.0000 0.0000 0.3999  12 Pd 2.89-2.90
Er 0.0000 0.0000 0.1987  12 Pd 2.88-2.91
Er 0.0000 0.0000 0.6001  12 Pd 2.89-2.90
Er 0.0000 0.0000 0.8013  12 Pd 2.88-2.91
Hg 0.0000 0.0000 0.0000  12 Pd 2.89-2.90

=====

6.
SiAg2Cl: optimized geometry, PBE.

Calculated values
The mass density is 6.0 g/cm³. Its space group is Fm-3m, No. 225. As for the total energy: -10.944 eV per formula unit. The value obtained for the formation energy without anion corrections is 507 meV per atom. As for the energy above the most stable polymorph in this dataset: 488 meV per atom.

a b c (Å): 4.7942 4.7942 4.7942
angles (deg): 60.00 60.00 60.00
Closest atoms and distances in Å follow each position.
Sites, in units of the cell vectors:
Ag 0.7500 0.7500 0.7500  4 Cl 2.94, 4 Si 2.94
Ag 0.2500 0.2500 0.2500  4 Cl 2.94, 4 Si 2.94
Si 0.0000 0.0000 0.0000  8 Ag 2.94
Cl 0.5000 0.5000 0.5000  8 Ag 2.94

=====

7.
Ba2AgPt: optimized geometry, PBE.

Calculated values
The mass density is 5.9 g/cm³. The calculation puts the calculated formation energy at -0.45 eV/atom. Its space group is R3m, No. 160. As for the total energy: -14.531 eV per formula unit.

a b c (Å): 8.5725 8.5725 8.5725
angles (deg): 32.51 32.51 32.51
Closest atoms and distances in Å follow each position.
Sites, in units of the cell vectors:
Ba 0.2060 0.2060 0.2060  3 Ag 3.40, 3 Pt 3.41
Ba 0.0442 0.0442 0.0442  3 Pt 3.39, 3 Ag 3.40
Pt 0.4579 0.4579 0.4579  3 Ag 2.77
Ag 0.7919 0.7919 0.7919  3 Pt 2.77

=====

8.
LiTiTl3: optimized geometry, PBE.

Calculated values
The mass density is 9.1 g/cm³. The calculation puts the calculated formation energy at 0.55 eV/atom. Its space group is Pm-3m, No. 221. As for the total energy: -14.161 eV per formula unit. As for the energy above the most stable polymorph in this dataset: 202 meV per atom.

a b c (Å): 4.9544 4.9544 4.9544
angles (deg): 90.00 90.00 90.00
Closest atoms and distances in Å follow each position.
Sites, in units of the cell vectors:
Tl 0.0000 0.5000 0.0000  2 Li 2.48
Tl 0.5000 0.0000 0.0000  2 Li 2.48
Tl 0.0000 0.0000 0.5000  2 Li 2.48
Li 0.0000 0.0000 0.0000  6 Tl 2.48
Ti 0.5000 0.5000 0.5000  12 Tl 3.50